Entry 1:
Computed, not measured: an optimized crystal structure of ThCd2Ag4 at the PBE level of DFT.

The calculation puts the total magnetic moment at 0.000 μB/atom. As for the total energy: -3.072 eV per atom.

The structure belongs to space group I4/mmm (No. 139); the cell edges are 7.252, 7.252 and 5.586 Å and the angles 90.00°, 90.00° and 90.00°. The asymmetric unit holds Th at (0.000, 0.000, 0.000), Cd at (0.000, 0.500, 0.250) and Ag at (0.193, 0.193, 0.500).



Entry 2:
Computed, not measured: an optimized crystal structure of ThCd2Ag at the PBE level of DFT.

The calculation puts the total magnetic moment at 0.000 μB/atom. As for the total energy: -3.009 eV per atom.

The structure belongs to space group Cm (No. 8); the cell edges are 5.743, 3.304 and 10.378 Å and the angles 90.00°, 100.53° and 90.00°. The asymmetric unit holds Th at (0.000, 0.000, 0.000), Cd at (0.239, 0.000, 0.721), Cd at (0.426, 0.000, 0.280) and Ag at (0.332, 0.500, 0.500).